The following is a PBE calculation of crystalline BeVIr2Ru at its relaxed geometry, from the Alexandria database.

Cell lengths 4.4572, 4.4572, 4.1059 Å; angles 90.00, 90.00, 90.00 degrees
Fractional positions:
Be: 0.0000 0.0000 0.0000
V: 0.0000 0.0000 0.5000
Ir: 0.0000 0.5000 0.5000
Ir: 0.5000 0.0000 0.5000
Ru: 0.5000 0.5000 0.0000

Output
Formation energy in eV/atom: 1.367
Density of states at the Fermi level in states/eV/atom: 1.535
Calculated density in g cm⁻³: 11.10